First-principles (PBE with a Hubbard U) data for HoMoO4 after structural relaxation, as listed in Alexandria.

Energy: -7.719 eV/atom

Geometry as extended XYZ:
```
12
Lattice="5.8007 0.0000 0.0000 0.0000 5.0179 0.0000 -2.0932 0.0000 5.4656" Properties=species:S:1:pos:R:3 pbc="T T T"
Ho 0.0000 0.0000 0.0000
Ho -1.0466 2.5089 2.7328
Mo 1.8537 0.0000 2.7328
Mo 2.9003 2.5089 0.0000
O 0.2451 0.8256 2.0760
O -0.8016 1.6834 4.8088
O 0.7360 3.5868 3.7103
O 1.7826 3.9400 0.9775
O 1.9248 1.0779 4.4881
O 2.9715 1.4311 1.7553
O 4.5090 3.3345 0.6569
O 3.4624 4.1923 3.3897
```